[1]
Entry from the Alexandria database: LaTb8Y2 after structural relaxation (PBE).

The energy comes out at -0.1779 hartree per atom. As for the total magnetization: 0.00 μB per cell. The value obtained for the energy relative to the elements is 0.15 eV/atom.

Cell: 5.958 9.122 9.524 Å, 61.39 73.48 53.59°
Fractional coordinates of all 11 atoms:
1 Tb 0.290 0.441 0.000
2 Y 0.000 0.690 0.621
3 Tb 0.710 0.559 0.000
4 Tb 0.802 0.348 0.751
5 Y 0.000 0.310 0.379
6 Tb 0.500 0.796 0.408
7 Tb 0.802 0.100 0.249
8 Tb 0.500 0.204 0.592
9 Tb 0.198 0.652 0.249
10 Tb 0.198 0.900 0.751
11 La 0.500 0.000 0.000

***

[2]
Entry from the Alexandria database: LaTb3Y5 after structural relaxation (PBE).

The energy comes out at -0.1972 hartree per atom. As for the total magnetization: 0.00 μB per cell. The value obtained for the energy relative to the elements is 0.32 eV/atom.

Cell: 10.097 10.097 11.266 Å, 68.51 68.51 35.09°
Fractional coordinates of all 18 atoms:
1 Y 0.095 0.568 0.030
2 Y 0.909 0.419 0.304
3 Y 0.392 0.608 0.750
4 Tb 0.050 0.596 0.365
5 Y 0.905 0.432 0.970
6 Y 0.568 0.095 0.530
7 La 0.124 0.876 0.250
8 Y 0.608 0.392 0.250
9 Tb 0.950 0.404 0.635
10 Y 0.419 0.909 0.804
11 La 0.876 0.124 0.750
12 Y 0.432 0.905 0.470
13 Tb 0.596 0.050 0.865
14 Tb 0.404 0.950 0.135
15 Y 0.091 0.581 0.696
16 Tb 0.000 0.000 0.000
17 Y 0.581 0.091 0.196
18 Tb 0.000 0.000 0.500

***

[3]
Entry from the Alexandria database: La9Tb3Y2 after structural relaxation (PBE).

The energy comes out at -0.1794 hartree per atom. As for the total magnetization: 0.00 μB per cell. The value obtained for the energy relative to the elements is 0.20 eV/atom.

Cell: 8.984 8.984 14.134 Å, 90.00 90.00 120.00°
Fractional coordinates of all 28 atoms:
1 La 0.628 0.871 0.545
2 La 0.757 0.628 0.455
3 La 0.372 0.129 0.045
4 La 0.925 0.436 0.250
5 Tb 0.083 0.835 0.250
6 La 0.372 0.129 0.455
7 La 0.489 0.925 0.750
8 Tb 0.835 0.752 0.750
9 Y 0.667 0.333 0.636
10 Y 0.333 0.667 0.364
11 La 0.511 0.075 0.250
12 La 0.243 0.372 0.955
13 La 0.129 0.757 0.545
14 Tb 0.752 0.917 0.250
15 La 0.564 0.489 0.250
16 La 0.129 0.757 0.955
17 La 0.871 0.243 0.455
18 La 0.436 0.511 0.750
19 La 0.871 0.243 0.045
20 La 0.628 0.871 0.955
21 Y 0.667 0.333 0.864
22 Tb 0.248 0.083 0.750
23 La 0.075 0.564 0.750
24 Tb 0.917 0.165 0.750
25 Y 0.333 0.667 0.136
26 La 0.757 0.628 0.045
27 Tb 0.165 0.248 0.250
28 La 0.243 0.372 0.545

***

[4]
Entry from the Alexandria database: La6Tb12Y after structural relaxation (PBE).

The energy comes out at -0.1719 hartree per atom. As for the total magnetization: 0.00 μB per cell. The value obtained for the energy relative to the elements is 0.14 eV/atom.

Cell: 8.657 8.657 8.657 Å, 89.52 89.52 89.52°
Fractional coordinates of all 19 atoms:
1 La 0.909 0.307 0.737
2 Tb 0.465 0.560 0.224
3 Tb 0.642 0.981 0.804
4 Tb 0.804 0.642 0.981
5 La 0.737 0.909 0.307
6 La 0.693 0.263 0.091
7 Tb 0.358 0.019 0.196
8 Tb 0.560 0.224 0.465
9 La 0.091 0.693 0.263
10 Tb 0.224 0.465 0.560
11 Y 0.000 0.000 0.000
12 Tb 0.535 0.440 0.776
13 Tb 0.196 0.358 0.019
14 Tb 0.981 0.804 0.642
15 Tb 0.019 0.196 0.358
16 La 0.263 0.091 0.693
17 Tb 0.776 0.535 0.440
18 Tb 0.440 0.776 0.535
19 La 0.307 0.737 0.909

***

[5]
Entry from the Alexandria database: La8Tb2Y after structural relaxation (PBE).

The energy comes out at -0.1797 hartree per atom. As for the total magnetization: 0.00 μB per cell. The value obtained for the energy relative to the elements is 0.12 eV/atom.

Cell: 6.096 9.635 9.635 Å, 122.29 105.81 105.81°
Fractional coordinates of all 11 atoms:
1 La 0.185 0.334 0.096
2 La 0.815 0.666 0.904
3 La 0.185 0.096 0.334
4 La 0.500 0.794 0.206
5 La 0.500 0.206 0.794
6 La 0.815 0.904 0.666
7 Y 0.500 0.000 0.000
8 Tb 0.000 0.689 0.311
9 La 0.701 0.422 0.422
10 Tb 0.000 0.311 0.689
11 La 0.299 0.578 0.578

***

[6]
Entry from the Alexandria database: La2Tb4Y after structural relaxation (PBE).

The energy comes out at -0.1821 hartree per atom. As for the total magnetization: 0.00 μB per cell. The value obtained for the energy relative to the elements is 0.02 eV/atom.

Cell: 8.866 8.079 7.232 Å, 102.86 90.11 111.31°
Fractional coordinates of all 14 atoms:
1 Tb 0.193 0.390 0.409
2 Tb 0.192 0.389 0.911
3 Y 0.052 0.965 0.052
4 La 0.485 0.256 0.627
5 Tb 0.484 0.255 0.127
6 La 0.767 0.104 0.339
7 Tb 0.628 0.677 0.982
8 La 0.337 0.820 0.767
9 Tb 0.052 0.965 0.554
10 Tb 0.628 0.678 0.482
11 Tb 0.912 0.537 0.697
12 Y 0.911 0.537 0.196
13 La 0.340 0.820 0.269
14 Tb 0.770 0.108 0.839

***

[7]
Entry from the Alexandria database: La10Tb4Y after structural relaxation (PBE).

The energy comes out at -0.1583 hartree per atom. As for the total magnetization: 0.00 μB per cell. The value obtained for the energy relative to the elements is 0.64 eV/atom.

Cell: 7.963 9.693 9.693 Å, 80.29 65.75 65.75°
Fractional coordinates of all 15 atoms:
1 La 0.950 0.899 0.699
2 Y 0.000 0.000 0.000
3 Tb 0.800 0.600 0.801
4 La 0.548 0.101 0.301
5 La 0.452 0.899 0.699
6 La 0.250 0.500 0.500
7 La 0.050 0.101 0.301
8 Tb 0.200 0.400 0.199
9 La 0.151 0.301 0.899
10 La 0.750 0.500 0.500
11 Tb 0.600 0.199 0.600
12 La 0.849 0.699 0.101
13 La 0.351 0.699 0.101
14 Tb 0.400 0.801 0.400
15 La 0.649 0.301 0.899

***

[8]
Entry from the Alexandria database: La3Tb4Y5 after structural relaxation (PBE).

The energy comes out at -0.2001 hartree per atom. As for the total magnetization: 0.00 μB per cell. The value obtained for the energy relative to the elements is 0.02 eV/atom.

Cell: 7.219 11.416 13.020 Å, 151.29 56.55 129.08°
Fractional coordinates of all 12 atoms:
1 Y 0.748 0.502 0.002
2 Tb 0.834 0.667 0.834
3 Y 0.500 0.000 0.500
4 Tb 0.919 0.837 0.670
5 Tb 0.166 0.333 0.166
6 Y 0.252 0.498 0.998
7 Y 0.667 0.333 0.165
8 Tb 0.081 0.163 0.330
9 La 0.414 0.832 0.665
10 La 0.000 0.000 0.500
11 La 0.586 0.168 0.335
12 Y 0.333 0.667 0.835

***

[9]
Entry from the Alexandria database: La2TbY7 after structural relaxation (PBE).

The energy comes out at -0.2136 hartree per atom. As for the total magnetization: 0.00 μB per cell. The value obtained for the energy relative to the elements is 0.16 eV/atom.

Cell: 3.533 14.965 14.965 Å, 154.49 90.00 90.00°
Fractional coordinates of all 10 atoms:
1 Y 0.500 0.147 0.342
2 Y 0.000 0.815 0.185
3 Y 0.500 0.853 0.658
4 Y 0.500 0.342 0.147
5 Y 0.500 0.658 0.853
6 Y 0.500 0.500 0.500
7 La 0.500 0.294 0.706
8 Tb 0.000 0.000 0.000
9 La 0.500 0.706 0.294
10 Y 0.000 0.185 0.815

***

[10]
Entry from the Alexandria database: La11Tb9Y4 after structural relaxation (PBE).

The energy comes out at -0.1837 hartree per atom. As for the total magnetization: 0.00 μB per cell. The value obtained for the energy relative to the elements is 0.07 eV/atom.

Cell: 3.704 15.666 15.666 Å, 113.03 90.00 90.00°
Fractional coordinates of all 24 atoms:
1 La 0.000 0.040 0.402
2 La 0.000 0.840 0.160
3 Y 0.500 0.556 0.760
4 Tb 0.500 0.834 0.369
5 La 0.000 0.292 0.292
6 La 0.000 0.708 0.708
7 Tb 0.500 0.932 0.787
8 La 0.000 0.960 0.598
9 La 0.000 0.632 0.368
10 La 0.000 0.368 0.632
11 Tb 0.500 0.787 0.932
12 Tb 0.500 0.166 0.631
13 Y 0.500 0.240 0.444
14 Y 0.500 0.444 0.240
15 La 0.000 0.160 0.840
16 Tb 0.500 0.068 0.213
17 Tb 0.500 0.213 0.068
18 Y 0.500 0.760 0.556
19 La 0.000 0.402 0.040
20 Tb 0.500 0.369 0.834
21 Tb 0.500 0.500 0.500
22 La 0.000 0.000 0.000
23 La 0.000 0.598 0.960
24 Tb 0.500 0.631 0.166

***

[11]
Entry from the Alexandria database: LaTb4Y after structural relaxation (PBE).

The energy comes out at -0.1740 hartree per atom. As for the total magnetization: 0.68 μB per cell. The value obtained for the energy relative to the elements is 0.25 eV/atom.

Cell: 6.644 6.644 6.644 Å, 60.00 60.00 60.00°
Fractional coordinates of all 6 atoms:
1 La 0.250 0.250 0.250
2 Tb 0.626 0.626 0.626
3 Tb 0.123 0.626 0.626
4 Tb 0.626 0.123 0.626
5 Tb 0.626 0.626 0.123
6 Y 0.000 0.000 0.000

***

[12]
Entry from the Alexandria database: La3Tb5Y3 after structural relaxation (PBE).

The energy comes out at -0.1633 hartree per atom. As for the total magnetization: 0.00 μB per cell. The value obtained for the energy relative to the elements is 0.77 eV/atom.

Cell: 5.455 9.614 9.614 Å, 120.00 90.00 90.00°
Fractional coordinates of all 11 atoms:
1 La 0.500 0.363 0.000
2 Tb 0.500 0.000 0.731
3 Tb 0.500 0.269 0.269
4 La 0.500 0.637 0.637
5 Y 0.000 0.000 0.523
6 Y 0.000 0.523 0.000
7 Tb 0.500 0.731 0.000
8 La 0.500 0.000 0.363
9 Y 0.000 0.477 0.477
10 Tb 0.500 0.333 0.667
11 Tb 0.500 0.667 0.333